Entry from Alexandria: a PBEsol-optimized structure of TlBBr3 (SCAN).

```
TlBBr3
1.0
4.849 0.000 0.000
0.000 4.849 0.000
0.000 0.000 4.849
Tl B Br
1 1 3
Cartesian
0.000 0.000 0.000
2.424 2.424 2.424
0.000 2.424 2.424
2.424 0.000 2.424
2.424 2.424 0.000
```

Output
M_tot   0.000 μB per atom
Raw formation energy   0.051 eV/atom
Calculated volume   114.01 Å³/cell
E   -27.5823 eV/atom